This record from Alexandria describes SrCe5Te8 after structural relaxation. The functional is PBE.

Cell: 8.3236 8.3236 8.3236 Å, 109.51 109.51 109.40°
Closest atoms and distances in Å follow each position.
Atoms (fractional coordinates):
Sr 0.0000 0.0000 0.0000  8 Te 3.29-3.47
Ce 0.2465 0.6235 0.1252  8 Te 3.22-3.42
Ce 0.3765 0.5018 0.6230  8 Te 3.22-3.42
Ce 0.4982 0.1212 0.8748  8 Te 3.22-3.42
Ce 0.7500 0.2500 0.5000  8 Te 3.23-3.38
Ce 0.8788 0.7535 0.3770  8 Te 3.22-3.42
Te 0.1254 0.7177 0.7470  5 Ce 3.24-3.41, 1 Sr 3.29, 2 Te 3.58-3.61
Te 0.1283 0.2286 0.7464  5 Ce 3.22-3.42, 1 Sr 3.47
Te 0.2823 0.0293 0.4076  5 Ce 3.24-3.41, 1 Sr 3.29, 2 Te 3.58-3.61
Te 0.4822 0.3819 0.2536  5 Ce 3.22-3.42, 1 Sr 3.47
Te 0.6181 0.8717 0.1003  5 Ce 3.22-3.42, 1 Sr 3.47
Te 0.6217 0.8746 0.5924  5 Ce 3.24-3.41, 1 Sr 3.29, 2 Te 3.58-3.61
Te 0.7714 0.5178 0.8997  5 Ce 3.22-3.42, 1 Sr 3.47
Te 0.9707 0.3783 0.2530  5 Ce 3.24-3.41, 1 Sr 3.29, 2 Te 3.58-3.61

ΔE_f (raw) = -20.03 eV per formula unit
total magnetization = 6.0 Bohr magnetons per cell
space group = I-4

---

This record from Alexandria describes LaCrCoBi2 after structural relaxation. The functional is PBE.

Cell: 5.2373 5.2373 4.8809 Å, 90.00 90.00 90.00°
Closest atoms and distances in Å follow each position.
Atoms (fractional coordinates):
La 0.0000 0.0000 0.0000  2 Co 2.44
Cr 0.5000 0.5000 0.0000  8 Bi 3.58, 4 La 3.70
Co 0.0000 0.0000 0.5000  2 La 2.44, 4 Bi 2.62
Bi 0.0000 0.5000 0.5000  2 Co 2.62
Bi 0.5000 0.0000 0.5000  2 Co 2.62

ΔE_f = 0.216 eV/atom
total magnetization = 4.6 Bohr magnetons per cell
space group = P4/mmm

---

This record from Alexandria describes TcOs2Au after structural relaxation. The functional is PBE.

Cell: 5.7456 5.7456 5.7456 Å, 102.48 102.48 124.59°
Closest atoms and distances in Å follow each position.
Atoms (fractional coordinates):
Tc 0.0000 0.0000 0.0000  4 Os 2.41, 2 Au 2.67
Tc 0.7500 0.2500 0.5000  4 Os 2.41, 2 Au 2.67
Os 0.0774 0.1250 0.4524  2 Tc 2.41
Os 0.3750 0.9226 0.0476  2 Tc 2.41
Os 0.6726 0.6250 0.5476  2 Tc 2.41
Os 0.8750 0.3274 0.9524  2 Tc 2.41
Au 0.2500 0.7500 0.5000  2 Tc 2.67, 4 Os 2.87
Au 0.5000 0.5000 0.0000  2 Tc 2.67, 4 Os 2.87

excess energy over the best structure of this formula in the dataset = 678 meV per atom
ΔE_f = 0.922 eV/atom
total magnetization = 0.0 Bohr magnetons per cell
space group = I-42d

---

This record from Alexandria describes Sm2DySe2S2 after structural relaxation. The functional is PBE.

Cell: 8.2091 8.2091 8.2091 Å, 143.98 143.98 51.85°
Closest atoms and distances in Å follow each position.
Atoms (fractional coordinates):
Sm 0.1216 0.1216 0.0000  1 Se 2.81, 4 S 3.11
Sm 0.8784 0.8784 0.0000  1 Se 2.81, 4 S 3.11
Dy 0.5000 0.5000 0.0000  4 S 2.54, 2 Se 2.78
Se 0.3121 0.3121 0.0000  1 Dy 2.78, 1 Sm 2.81
Se 0.6879 0.6879 0.0000  1 Dy 2.78, 1 Sm 2.81
S 0.0000 0.5000 0.5000  2 Dy 2.54
S 0.5000 0.0000 0.5000  2 Dy 2.54

ΔE_f (raw) = -11.02 eV per formula unit
total magnetization = 0.0 Bohr magnetons per cell
space group = I4/mmm